Entry 1:
Here is a geometry-optimized RuN3Cl structure from Alexandria. Energies are from PBE.

Cell lengths 3.9080, 3.9080, 3.9080 Å; angles 90.00, 90.00, 90.00 degrees
With the nearest neighbours (Å) after each atom.
Space group Pm-3m (No. 221)
Asymmetric unit:
Ru  0.0000  0.0000  0.0000 (multiplicity 1)  6 N 1.95
N  0.0000  0.0000  0.5000 (multiplicity 3)  2 Ru 1.95
Cl  0.5000  0.5000  0.5000 (multiplicity 1)  12 N 2.76

* D(E_F): 2.5 states/eV/f.u.
* ΔE_f (raw): 7.79 eV per formula unit

---

Entry 2:
Here is a geometry-optimized RuNCl3 structure from Alexandria. Energies are from PBE.

Cell lengths 4.4475, 4.4475, 4.4475 Å; angles 90.00, 90.00, 90.00 degrees
With the nearest neighbours (Å) after each atom.
Space group Pm-3m (No. 221)
Asymmetric unit:
Ru  0.0000  0.0000  0.0000 (multiplicity 1)  12 Cl 3.14
N  0.5000  0.5000  0.5000 (multiplicity 1)  6 Cl 2.22
Cl  0.0000  0.5000  0.5000 (multiplicity 3)  2 N 2.22

* D(E_F): 4.9 states/eV/f.u.
* ΔE_f (raw): 7.20 eV per formula unit

---

Entry 3:
Here is a geometry-optimized RuN6Cl2 structure from Alexandria. Energies are from PBE.

Cell lengths 8.0499, 8.0499, 8.0499 Å; angles 90.00, 90.00, 90.00 degrees
With the nearest neighbours (Å) after each atom.
Space group Fm-3m (No. 225)
Asymmetric unit:
Ru  0.0000  0.0000  0.0000 (multiplicity 4)  6 N 1.95
N  0.0000  0.0000  0.2422 (multiplicity 24)  1 Ru 1.95
Cl  0.2500  0.2500  0.2500 (multiplicity 8)  12 N 2.85

* D(E_F): 4.7 states/eV/f.u.
* ΔE_f (raw): 24.34 eV per formula unit

---

Entry 4:
Here is a geometry-optimized Ru2N2Cl structure from Alexandria. Energies are from PBE.

Cell lengths 3.3897, 3.3897, 11.7251 Å; angles 90.00, 90.00, 90.00 degrees
With the nearest neighbours (Å) after each atom.
Space group I4/mmm (No. 139)
Asymmetric unit:
Ru  0.0000  0.0000  0.1586 (multiplicity 4)  4 N 2.01
N  0.0000  0.5000  0.2500 (multiplicity 4)  4 Ru 2.01
Cl  0.0000  0.0000  0.5000 (multiplicity 2)  8 Ru 3.03, 8 N 3.39, 4 Cl 3.39

* D(E_F): 2.8 states/eV/f.u.
* ΔE_f (raw): 3.02 eV per formula unit

---

Number 1: size of the total moment 0.54 μB per atom. Number 2: size of the total moment 0.70 μB per atom. Number 3: size of the total moment 0.97 μB per atom. Number 4: size of the total moment 0.00 μB per atom.